Run P
! AgTe2AsSe, optimized geometry, DFT PBE-GGA; values from VASP
! Calculated density, kg/m³: 5930
! DOS(E_F), states/eV/f.u.: 4.7
! Symmetry: P4/mmm, No. 123
&SYSTEM
  ibrav = 0, nat = 5, ntyp = 4
/
ATOMIC_SPECIES
Ag 107.87 Ag.upf
Te 127.60 Te.upf
As 74.92 As.upf
Se 78.96 Se.upf
ATOMIC_POSITIONS crystal
Ag 0.0000 0.0000 0.0000
Te 0.0000 0.5000 0.0000
Te 0.5000 0.0000 0.0000
As 0.5000 0.5000 0.5000
Se 0.0000 0.0000 0.5000
CELL_PARAMETERS angstrom
5.4222 0.0000 0.0000
0.0000 5.4222 0.0000
0.0000 0.0000 4.9240

Run Q
! AgTe2AsSe, optimized geometry, DFT PBE-GGA; values from VASP
! Calculated density, kg/m³: 5732
! DOS(E_F), states/eV/f.u.: 2.5
! Symmetry: P4/mmm, No. 123
&SYSTEM
  ibrav = 0, nat = 5, ntyp = 4
/
ATOMIC_SPECIES
Ag 107.87 Ag.upf
Te 127.60 Te.upf
As 74.92 As.upf
Se 78.96 Se.upf
ATOMIC_POSITIONS crystal
Ag 0.0000 0.0000 0.0000
Te 0.0000 0.5000 0.5000
Te 0.5000 0.0000 0.5000
As 0.5000 0.5000 0.0000
Se 0.0000 0.0000 0.5000
CELL_PARAMETERS angstrom
5.5496 0.0000 0.0000
0.0000 5.5496 0.0000
0.0000 0.0000 4.8622

Most stable: run Q

Run P
! TlAgAsSe2, optimized geometry, DFT PBE-GGA; values from VASP
! Calculated density, kg/m³: 6488
! DOS(E_F), states/eV/f.u.: 3.9
! Symmetry: P4/mmm, No. 123
&SYSTEM
  ibrav = 0, nat = 5, ntyp = 4
/
ATOMIC_SPECIES
Tl 204.38 Tl.upf
Ag 107.87 Ag.upf
As 74.92 As.upf
Se 78.96 Se.upf
ATOMIC_POSITIONS crystal
Tl 0.0000 0.0000 0.0000
Ag 0.5000 0.5000 0.5000
As 0.5000 0.5000 0.0000
Se 0.0000 0.5000 0.5000
Se 0.5000 0.0000 0.5000
CELL_PARAMETERS angstrom
5.3150 0.0000 0.0000
0.0000 5.3150 0.0000
0.0000 0.0000 4.9386

Run Q
! TlAgAsSe2, optimized geometry, DFT PBE-GGA; values from VASP
! Calculated density, kg/m³: 6976
! DOS(E_F), states/eV/f.u.: 0.5
! Symmetry: Cmme, No. 67
&SYSTEM
  ibrav = 0, nat = 10, ntyp = 4
/
ATOMIC_SPECIES
Tl 204.38 Tl.upf
Ag 107.87 Ag.upf
As 74.92 As.upf
Se 78.96 Se.upf
ATOMIC_POSITIONS crystal
Tl 0.2500 0.7500 0.7748
Tl 0.7500 0.2500 0.2252
Ag 0.0000 0.0000 0.0000
Ag 0.5000 0.5000 0.0000
As 0.2500 0.2500 0.5000
As 0.7500 0.7500 0.5000
Se 0.1334 0.8666 0.2661
Se 0.3666 0.6334 0.2661
Se 0.6334 0.3666 0.7339
Se 0.8666 0.1334 0.7339
CELL_PARAMETERS angstrom
2.8817 -7.2951 0.0000
2.8817 7.2951 0.0000
0.0000 0.0000 6.1721

Most stable: run Q

Run P
! AgAs2WSe, optimized geometry, DFT PBE-GGA; values from VASP
! Calculated density, kg/m³: 7226
! DOS(E_F), states/eV/f.u.: 3.4
! Symmetry: P4/mmm, No. 123
&SYSTEM
  ibrav = 0, nat = 5, ntyp = 4
/
ATOMIC_SPECIES
Ag 107.87 Ag.upf
As 74.92 As.upf
W 183.84 W.upf
Se 78.96 Se.upf
ATOMIC_POSITIONS crystal
Ag 0.0000 0.0000 0.0000
As 0.0000 0.5000 0.5000
As 0.5000 0.0000 0.5000
W 0.5000 0.5000 0.5000
Se 0.5000 0.5000 0.0000
CELL_PARAMETERS angstrom
4.9445 0.0000 0.0000
0.0000 4.9445 0.0000
0.0000 0.0000 4.8929

Run Q
! AgAs2WSe, optimized geometry, DFT PBE-GGA; values from VASP
! Calculated density, kg/m³: 7261
! DOS(E_F), states/eV/f.u.: 3.8
! Symmetry: P4/mmm, No. 123
&SYSTEM
  ibrav = 0, nat = 5, ntyp = 4
/
ATOMIC_SPECIES
Ag 107.87 Ag.upf
As 74.92 As.upf
W 183.84 W.upf
Se 78.96 Se.upf
ATOMIC_POSITIONS crystal
Ag 0.0000 0.0000 0.0000
As 0.0000 0.5000 0.0000
As 0.5000 0.0000 0.0000
W 0.5000 0.5000 0.5000
Se 0.0000 0.0000 0.5000
CELL_PARAMETERS angstrom
4.8751 0.0000 0.0000
0.0000 4.8751 0.0000
0.0000 0.0000 5.0083

Most stable: run P

Run P
! YAgAsSe2, optimized geometry, DFT PBE-GGA; values from VASP
! Calculated density, kg/m³: 5639
! DOS(E_F), states/eV/f.u.: 3.6
! Symmetry: P4/mmm, No. 123
&SYSTEM
  ibrav = 0, nat = 5, ntyp = 4
/
ATOMIC_SPECIES
Y 88.91 Y.upf
Ag 107.87 Ag.upf
As 74.92 As.upf
Se 78.96 Se.upf
ATOMIC_POSITIONS crystal
Y 0.0000 0.0000 0.0000
Ag 0.5000 0.5000 0.5000
As 0.5000 0.5000 0.0000
Se 0.0000 0.5000 0.5000
Se 0.5000 0.0000 0.5000
CELL_PARAMETERS angstrom
5.0638 0.0000 0.0000
0.0000 5.0638 0.0000
0.0000 0.0000 4.9336

Run Q
! YAgAsSe2, optimized geometry, DFT PBE-GGA; values from VASP
! Calculated density, kg/m³: 4368
! DOS(E_F), states/eV/f.u.: 4.3
! Symmetry: P4/mmm, No. 123
&SYSTEM
  ibrav = 0, nat = 5, ntyp = 4
/
ATOMIC_SPECIES
Y 88.91 Y.upf
Ag 107.87 Ag.upf
As 74.92 As.upf
Se 78.96 Se.upf
ATOMIC_POSITIONS crystal
Y 0.0000 0.0000 0.0000
Ag 0.5000 0.5000 0.5000
As 0.0000 0.0000 0.5000
Se 0.0000 0.5000 0.0000
Se 0.5000 0.0000 0.0000
CELL_PARAMETERS angstrom
5.4457 0.0000 0.0000
0.0000 5.4457 0.0000
0.0000 0.0000 5.5071

Most stable: run P

Run P
! ZnAgAsSe2, optimized geometry, DFT PBE-GGA; values from VASP
! Calculated density, kg/m³: 5612
! DOS(E_F), states/eV/f.u.: 3.4
! Symmetry: P4/mmm, No. 123
&SYSTEM
  ibrav = 0, nat = 5, ntyp = 4
/
ATOMIC_SPECIES
Zn 65.41 Zn.upf
Ag 107.87 Ag.upf
As 74.92 As.upf
Se 78.96 Se.upf
ATOMIC_POSITIONS crystal
Zn 0.0000 0.0000 0.0000
Ag 0.5000 0.5000 0.5000
As 0.0000 0.0000 0.5000
Se 0.0000 0.5000 0.0000
Se 0.5000 0.0000 0.0000
CELL_PARAMETERS angstrom
5.0512 0.0000 0.0000
0.0000 5.0512 0.0000
0.0000 0.0000 4.7100

Run Q
! ZnAgAsSe2, optimized geometry, DFT PBE-GGA; values from VASP
! Calculated density, kg/m³: 5169
! DOS(E_F), states/eV/f.u.: 4.9
! Symmetry: P4/mmm, No. 123
&SYSTEM
  ibrav = 0, nat = 5, ntyp = 4
/
ATOMIC_SPECIES
Zn 65.41 Zn.upf
Ag 107.87 Ag.upf
As 74.92 As.upf
Se 78.96 Se.upf
ATOMIC_POSITIONS crystal
Zn 0.0000 0.0000 0.0000
Ag 0.5000 0.5000 0.5000
As 0.5000 0.5000 0.0000
Se 0.0000 0.5000 0.5000
Se 0.5000 0.0000 0.5000
CELL_PARAMETERS angstrom
5.1371 0.0000 0.0000
0.0000 5.1371 0.0000
0.0000 0.0000 4.9437

Most stable: run P

Run P
! ZnAgAs2Se, optimized geometry, DFT PBE-GGA; values from VASP
! Calculated density, kg/m³: 5676
! DOS(E_F), states/eV/f.u.: 4.5
! Symmetry: P4/mmm, No. 123
&SYSTEM
  ibrav = 0, nat = 5, ntyp = 4
/
ATOMIC_SPECIES
Zn 65.41 Zn.upf
Ag 107.87 Ag.upf
As 74.92 As.upf
Se 78.96 Se.upf
ATOMIC_POSITIONS crystal
Zn 0.0000 0.0000 0.0000
Ag 0.5000 0.5000 0.5000
As 0.0000 0.5000 0.0000
As 0.5000 0.0000 0.0000
Se 0.0000 0.0000 0.5000
CELL_PARAMETERS angstrom
4.8040 0.0000 0.0000
0.0000 4.8040 0.0000
0.0000 0.0000 5.0974

Run Q
! ZnAgAs2Se, optimized geometry, DFT PBE-GGA; values from VASP
! Calculated density, kg/m³: 5170
! DOS(E_F), states/eV/f.u.: 4.9
! Symmetry: P4/mmm, No. 123
&SYSTEM
  ibrav = 0, nat = 5, ntyp = 4
/
ATOMIC_SPECIES
Zn 65.41 Zn.upf
Ag 107.87 Ag.upf
As 74.92 As.upf
Se 78.96 Se.upf
ATOMIC_POSITIONS crystal
Zn 0.0000 0.0000 0.0000
Ag 0.5000 0.5000 0.5000
As 0.0000 0.5000 0.5000
As 0.5000 0.0000 0.5000
Se 0.5000 0.5000 0.0000
CELL_PARAMETERS angstrom
5.0172 0.0000 0.0000
0.0000 5.0172 0.0000
0.0000 0.0000 5.1302

Most stable: run P

Run P
! ZrAgAsSe2, optimized geometry, DFT PBE-GGA; values from VASP
! Calculated density, kg/m³: 5908
! DOS(E_F), states/eV/f.u.: 3.5
! Symmetry: P4/mmm, No. 123
&SYSTEM
  ibrav = 0, nat = 5, ntyp = 4
/
ATOMIC_SPECIES
Zr 91.22 Zr.upf
Ag 107.87 Ag.upf
As 74.92 As.upf
Se 78.96 Se.upf
ATOMIC_POSITIONS crystal
Zr 0.0000 0.0000 0.0000
Ag 0.5000 0.5000 0.5000
As 0.5000 0.5000 0.0000
Se 0.0000 0.5000 0.5000
Se 0.5000 0.0000 0.5000
CELL_PARAMETERS angstrom
4.9525 0.0000 0.0000
0.0000 4.9525 0.0000
0.0000 0.0000 4.9497

Run Q
! ZrAgAsSe2, optimized geometry, DFT PBE-GGA; values from VASP
! Calculated density, kg/m³: 5044
! DOS(E_F), states/eV/f.u.: 5.3
! Symmetry: P4/mmm, No. 123
&SYSTEM
  ibrav = 0, nat = 5, ntyp = 4
/
ATOMIC_SPECIES
Zr 91.22 Zr.upf
Ag 107.87 Ag.upf
As 74.92 As.upf
Se 78.96 Se.upf
ATOMIC_POSITIONS crystal
Zr 0.0000 0.0000 0.0000
Ag 0.5000 0.5000 0.5000
As 0.0000 0.0000 0.5000
Se 0.0000 0.5000 0.0000
Se 0.5000 0.0000 0.0000
CELL_PARAMETERS angstrom
5.2081 0.0000 0.0000
0.0000 5.2081 0.0000
0.0000 0.0000 5.2421

Most stable: run Q

Run P
! SiAg2As, optimized geometry, DFT PBE-GGA; values from VASP
! Calculated density, kg/m³: 7308
! DOS(E_F), states/eV/f.u.: 1.2
! Symmetry: P4mm, No. 99
&SYSTEM
  ibrav = 0, nat = 4, ntyp = 3
/
ATOMIC_SPECIES
Si 28.09 Si.upf
Ag 107.87 Ag.upf
As 74.92 As.upf
ATOMIC_POSITIONS crystal
Si 0.0000 0.0000 0.0000
Ag 0.0000 0.0000 0.5100
Ag 0.5000 0.5000 0.2673
As 0.5000 0.5000 0.8016
CELL_PARAMETERS angstrom
3.5332 0.0000 0.0000
0.0000 3.5332 0.0000
0.0000 0.0000 5.8013

Run Q
! SiAg2As, optimized geometry, DFT PBE-GGA; values from VASP
! Calculated density, kg/m³: 6948
! DOS(E_F), states/eV/f.u.: 1.4
! Symmetry: Cm, No. 8
&SYSTEM
  ibrav = 0, nat = 4, ntyp = 3
/
ATOMIC_SPECIES
Si 28.09 Si.upf
Ag 107.87 Ag.upf
As 74.92 As.upf
ATOMIC_POSITIONS crystal
Si 0.0000 0.0000 0.0000
Ag 0.2253 0.2253 0.3646
Ag 0.5302 0.5302 0.5267
As 0.7963 0.7963 0.9122
CELL_PARAMETERS angstrom
6.1396 -1.4239 0.0000
6.1396 1.4239 0.0000
-1.0298 0.0000 4.3572

Run R
! SiAg2As, optimized geometry, DFT PBE-GGA; values from VASP
! Calculated density, kg/m³: 7484
! DOS(E_F), states/eV/f.u.: 1.0
! Symmetry: R3m, No. 160
&SYSTEM
  ibrav = 0, nat = 4, ntyp = 3
/
ATOMIC_SPECIES
Si 28.09 Si.upf
Ag 107.87 Ag.upf
As 74.92 As.upf
ATOMIC_POSITIONS crystal
Si 0.0000 0.0000 0.0000
Ag 0.2558 0.2558 0.2558
Ag 0.5032 0.5032 0.5032
As 0.7478 0.7478 0.7478
CELL_PARAMETERS angstrom
1.4748 0.8515 9.3865
-1.4748 0.8515 9.3865
0.0000 -1.7030 9.3865

Most stable: run Q

Run P
! SiAg2As, optimized geometry, DFT PBE-GGA; values from VASP
! Calculated density, kg/m³: 6937
! DOS(E_F), states/eV/f.u.: 2.2
! Symmetry: I-42d, No. 122
&SYSTEM
  ibrav = 0, nat = 8, ntyp = 3
/
ATOMIC_SPECIES
Si 28.09 Si.upf
Ag 107.87 Ag.upf
As 74.92 As.upf
ATOMIC_POSITIONS crystal
Si 0.0000 0.0000 0.0000
Si 0.7500 0.2500 0.5000
Ag 0.1122 0.6250 0.9872
Ag 0.3750 0.3622 0.4872
Ag 0.6378 0.1250 0.0128
Ag 0.8750 0.8878 0.5128
As 0.2500 0.7500 0.5000
As 0.5000 0.5000 0.0000
CELL_PARAMETERS angstrom
-3.7425 3.7425 2.7235
3.7425 -3.7425 2.7235
3.7425 3.7425 -2.7235

Run Q
! SiAg2As, optimized geometry, DFT PBE-GGA; values from VASP
! Calculated density, kg/m³: 7215
! DOS(E_F), states/eV/f.u.: 1.0
! Symmetry: Fm-3m, No. 225
&SYSTEM
  ibrav = 0, nat = 4, ntyp = 3
/
ATOMIC_SPECIES
Si 28.09 Si.upf
Ag 107.87 Ag.upf
As 74.92 As.upf
ATOMIC_POSITIONS crystal
Si 0.0000 0.0000 0.0000
Ag 0.2500 0.2500 0.2500
Ag 0.7500 0.7500 0.7500
As 0.5000 0.5000 0.5000
CELL_PARAMETERS angstrom
0.0000 3.3226 3.3226
3.3226 0.0000 3.3226
3.3226 3.3226 0.0000

Most stable: run Q

Run P
! SiAg2As, optimized geometry, DFT PBE-GGA; values from VASP
! Calculated density, kg/m³: 7009
! DOS(E_F), states/eV/f.u.: 1.4
! Symmetry: Imm2, No. 44
&SYSTEM
  ibrav = 0, nat = 4, ntyp = 3
/
ATOMIC_SPECIES
Si 28.09 Si.upf
Ag 107.87 Ag.upf
As 74.92 As.upf
ATOMIC_POSITIONS crystal
Si 0.0000 0.0000 0.0000
Ag 0.2177 0.7177 0.5000
Ag 0.5401 0.5401 0.0000
As 0.8150 0.3150 0.5000
CELL_PARAMETERS angstrom
-1.4706 2.1745 5.9033
1.4706 -2.1745 5.9033
1.4706 2.1745 -5.9033

Run Q
! SiAg2As, optimized geometry, DFT PBE-GGA; values from VASP
! Calculated density, kg/m³: 7237
! DOS(E_F), states/eV/f.u.: 1.4
! Symmetry: Pm, No. 6
&SYSTEM
  ibrav = 0, nat = 4, ntyp = 3
/
ATOMIC_SPECIES
Si 28.09 Si.upf
Ag 107.87 Ag.upf
As 74.92 As.upf
ATOMIC_POSITIONS crystal
Si 0.0000 0.0000 0.0000
Ag 0.2727 0.0000 0.5076
Ag 0.6846 0.5000 0.3123
As 0.9455 0.5000 0.8309
CELL_PARAMETERS angstrom
2.9235 0.0000 0.0000
0.0000 4.8336 0.0000
-1.3604 0.0000 5.1756

Run R
! SiAg2As, optimized geometry, DFT PBE-GGA; values from VASP
! Calculated density, kg/m³: 7370
! DOS(E_F), states/eV/f.u.: 1.7
! Symmetry: P4/mmm, No. 123
&SYSTEM
  ibrav = 0, nat = 4, ntyp = 3
/
ATOMIC_SPECIES
Si 28.09 Si.upf
Ag 107.87 Ag.upf
As 74.92 As.upf
ATOMIC_POSITIONS crystal
Si 0.0000 0.0000 0.0000
Ag 0.0000 0.5000 0.5000
Ag 0.5000 0.0000 0.5000
As 0.5000 0.5000 0.0000
CELL_PARAMETERS angstrom
4.1214 0.0000 0.0000
0.0000 4.1214 0.0000
0.0000 0.0000 4.2279

Most stable: run P

Run P
! SiAg2As, optimized geometry, DFT PBE-GGA; values from VASP
! Calculated density, kg/m³: 7260
! DOS(E_F), states/eV/f.u.: 1.4
! Symmetry: C2/m, No. 12
&SYSTEM
  ibrav = 0, nat = 4, ntyp = 3
/
ATOMIC_SPECIES
Si 28.09 Si.upf
Ag 107.87 Ag.upf
As 74.92 As.upf
ATOMIC_POSITIONS crystal
Si 0.0000 0.0000 0.0000
Ag 0.0000 0.5000 0.0000
Ag 0.5000 0.0000 0.0000
As 0.5000 0.5000 0.0000
CELL_PARAMETERS angstrom
2.8713 -4.7982 0.0000
2.8713 4.7982 0.0000
-1.3128 0.0000 2.6459

Run Q
! SiAg2As, optimized geometry, DFT PBE-GGA; values from VASP
! Calculated density, kg/m³: 7353
! DOS(E_F), states/eV/f.u.: 1.1
! Symmetry: I-4m2, No. 119
&SYSTEM
  ibrav = 0, nat = 4, ntyp = 3
/
ATOMIC_SPECIES
Si 28.09 Si.upf
Ag 107.87 Ag.upf
As 74.92 As.upf
ATOMIC_POSITIONS crystal
Si 0.0000 0.0000 0.0000
Ag 0.2500 0.7500 0.5000
Ag 0.5000 0.5000 0.0000
As 0.7500 0.2500 0.5000
CELL_PARAMETERS angstrom
-2.0726 2.0726 4.1894
2.0726 -2.0726 4.1894
2.0726 2.0726 -4.1894

Most stable: run Q

Run P
! SiAg2As, optimized geometry, DFT PBE-GGA; values from VASP
! Calculated density, kg/m³: 7142
! DOS(E_F), states/eV/f.u.: 1.9
! Symmetry: F-43m, No. 216
&SYSTEM
  ibrav = 0, nat = 4, ntyp = 3
/
ATOMIC_SPECIES
Si 28.09 Si.upf
Ag 107.87 Ag.upf
As 74.92 As.upf
ATOMIC_POSITIONS crystal
Si 0.0000 0.0000 0.0000
Ag 0.5000 0.5000 0.5000
Ag 0.7500 0.7500 0.7500
As 0.2500 0.2500 0.2500
CELL_PARAMETERS angstrom
0.0000 3.3338 3.3338
3.3338 0.0000 3.3338
3.3338 3.3338 0.0000

Run Q
! SiAg2As, optimized geometry, DFT PBE-GGA; values from VASP
! Calculated density, kg/m³: 7402
! DOS(E_F), states/eV/f.u.: 1.2
! Symmetry: Cmm2, No. 35
&SYSTEM
  ibrav = 0, nat = 4, ntyp = 3
/
ATOMIC_SPECIES
Si 28.09 Si.upf
Ag 107.87 Ag.upf
As 74.92 As.upf
ATOMIC_POSITIONS crystal
Si 0.0000 0.0000 0.0000
Ag 0.0000 0.0000 0.4777
Ag 0.5000 0.5000 0.2261
As 0.5000 0.5000 0.7290
CELL_PARAMETERS angstrom
2.0144 -2.0763 0.0000
2.0144 2.0763 0.0000
0.0000 0.0000 8.5484

Run R
! SiAg2As, optimized geometry, DFT PBE-GGA; values from VASP
! Calculated density, kg/m³: 7436
! DOS(E_F), states/eV/f.u.: 1.0
! Symmetry: R-3m, No. 166
&SYSTEM
  ibrav = 0, nat = 4, ntyp = 3
/
ATOMIC_SPECIES
Si 28.09 Si.upf
Ag 107.87 Ag.upf
As 74.92 As.upf
ATOMIC_POSITIONS crystal
Si 0.0000 0.0000 0.0000
Ag 0.2541 0.2541 0.2541
Ag 0.7459 0.7459 0.7459
As 0.5000 0.5000 0.5000
CELL_PARAMETERS angstrom
1.5521 0.8961 8.5292
-1.5521 0.8961 8.5292
0.0000 -1.7922 8.5292

Most stable: run R